Record 1
Entry from the Alexandria database: a relaxed YCdN2F crystal (GGA-PBE).

```
5
Lattice="4.1633 0.0000 0.0000 0.0000 4.1633 0.0000 0.0000 0.0000 4.2308" Properties=species:S:1:pos:R:3 pbc="T T T"
Y 0.0000 0.0000 0.0000
Cd 2.0816 2.0816 2.1154
N 0.0000 2.0816 2.1154
N 2.0816 0.0000 2.1154
F 2.0816 2.0816 0.0000
```

Properties
- DOS(E_F) (states/eV/f.u.) = 1.63
- calculated density (g/cm3) = 5.62
- space-group type = P4/mmm
- energy above the lowest structure with this stoichiometry (eV per atom) = 0.151
- formation energy (no corrections) (meV per atom) = -102.4
- total energy (eV per atom) = -5.28


Record 2
Entry from the Alexandria database: a relaxed Y2CdNF crystal (GGA-PBE).

```
5
Lattice="4.5401 0.0000 0.0000 0.0000 4.5401 0.0000 0.0000 0.0000 5.4907" Properties=species:S:1:pos:R:3 pbc="T T T"
Y 0.0000 2.2700 0.0000
Y 2.2700 0.0000 0.0000
Cd 0.0000 0.0000 2.7454
N 2.2700 2.2700 0.0000
F 2.2700 2.2700 2.7454
```

Properties
- DOS(E_F) (states/eV/f.u.) = 0.19
- calculated density (g/cm3) = 4.74
- space-group type = P4/mmm
- formation energy (no corrections) (meV per atom) = -818.8
- total energy (eV per atom) = -5.63